(1)
Computed, not measured: crystalline KLi2AsS4 at its relaxed geometry at the PBE level of DFT.

raw total energy	-4.112	eV/atom

extended XYZ file:
```
8
Lattice="-2.4896 2.1512 -5.7451 3.5716 0.5614 -5.1522 -3.5331 -3.6982 -3.6684" Properties=species:S:1:pos:R:3 pbc="T T T"
Li 0.5508 0.5722 -7.6539
Li -3.0019 -1.5579 -6.9119
S -1.3876 0.6274 -12.0670
S -2.5860 -1.4847 -9.4204
S -2.0157 -0.7903 -4.6962
S 1.0871 -0.3237 -2.9480
K 0.0000 0.0000 0.0000
As 0.0193 -1.5684 -4.4103
```



(2)
Computed, not measured: crystalline BaTa2TlO7 at its relaxed geometry at the PBE level of DFT.

raw total energy	-8.199	eV/atom

extended XYZ file:
```
11
Lattice="-1.2689 -0.2886 3.7929 3.1138 -2.3755 0.8610 4.9381 9.9627 0.2904" Properties=species:S:1:pos:R:3 pbc="T T T"
O 2.6754 0.4595 0.9300
O 2.2322 3.2873 0.9969
O 0.0000 0.0000 0.0000
O 6.2989 5.7957 2.5483
O 4.1516 6.9040 4.0339
O 4.5508 4.0114 3.9474
O 0.4400 1.4381 2.3763
Tl 4.4872 3.1276 1.7392
Ta 1.1856 1.7460 0.5295
Ta 5.5973 5.5526 4.4148
Ba 0.9224 -1.3320 2.3269
```



> Among the records above, which one has the lowest raw total energy?

BaTa2TlO7



> Number 2 is which compound?

BaTa2TlO7



What did the second record say?
Computed, not measured: crystalline BaTa2TlO7 at its relaxed geometry at the PBE level of DFT.

raw total energy	-8.199	eV/atom

extended XYZ file:
```
11
Lattice="-1.2689 -0.2886 3.7929 3.1138 -2.3755 0.8610 4.9381 9.9627 0.2904" Properties=species:S:1:pos:R:3 pbc="T T T"
O 2.6754 0.4595 0.9300
O 2.2322 3.2873 0.9969
O 0.0000 0.0000 0.0000
O 6.2989 5.7957 2.5483
O 4.1516 6.9040 4.0339
O 4.5508 4.0114 3.9474
O 0.4400 1.4381 2.3763
Tl 4.4872 3.1276 1.7392
Ta 1.1856 1.7460 0.5295
Ta 5.5973 5.5526 4.4148
Ba 0.9224 -1.3320 2.3269
```



Repeat the first record exactly.
Computed, not measured: crystalline KLi2AsS4 at its relaxed geometry at the PBE level of DFT.

raw total energy	-4.112	eV/atom

extended XYZ file:
```
8
Lattice="-2.4896 2.1512 -5.7451 3.5716 0.5614 -5.1522 -3.5331 -3.6982 -3.6684" Properties=species:S:1:pos:R:3 pbc="T T T"
Li 0.5508 0.5722 -7.6539
Li -3.0019 -1.5579 -6.9119
S -1.3876 0.6274 -12.0670
S -2.5860 -1.4847 -9.4204
S -2.0157 -0.7903 -4.6962
S 1.0871 -0.3237 -2.9480
K 0.0000 0.0000 0.0000
As 0.0193 -1.5684 -4.4103
```